DFT (PBE+U) results for a geometry-optimized GaWBr2F structure.

Structure (POSCAR):
```
GaWBr2F
1.0
5.8429 0.0000 0.0000
0.0000 5.8429 0.0000
0.0000 0.0000 4.0906
F Br Ga W
1 2 1 1
direct
0.0000 0.0000 0.0000 F
0.5000 0.0000 0.0000 Br
0.0000 0.5000 0.0000 Br
0.5000 0.5000 0.5000 Ga
0.0000 0.0000 0.5000 W
```

Summary:
N(E_F), states/eV/f.u.: 1.59
Calculated total energy, eV/cell: -17.05